Record 1
Entry from Alexandria via LeMat-Bulk: CaMg3S after structural relaxation (PBE). Values from VASP.

Output
The value obtained for the formation energy (no corrections) is -0.20 eV per atom. Its magnetic moment is 0.00 μB/f.u. The energy above the most stable polymorph in this dataset comes out at 0.000 eV per atom.

```
&SYSTEM
  ibrav = 0, nat = 5, ntyp = 3
/
ATOMIC_SPECIES
Ca 40.08 Ca.upf
Mg 24.30 Mg.upf
S 32.06 S.upf
CELL_PARAMETERS angstrom
5.099 0.000 0.000
0.000 5.099 0.000
0.000 0.000 5.099
ATOMIC_POSITIONS angstrom
Ca 0.000 0.000 0.000
Mg 0.000 2.550 2.550
Mg 2.550 0.000 2.550
Mg 2.550 2.550 0.000
S 2.550 2.550 2.550
```

Record 2
Entry from Alexandria via LeMat-Bulk: Ca2MgS after structural relaxation (PBE). Values from VASP.

Output
The value obtained for the formation energy (no corrections) is -0.72 eV per atom. Its magnetic moment is 0.00 μB/f.u. The energy above the most stable polymorph in this dataset comes out at 0.000 eV per atom.

```
&SYSTEM
  ibrav = 0, nat = 8, ntyp = 3
/
ATOMIC_SPECIES
Ca 40.08 Ca.upf
Mg 24.30 Mg.upf
S 32.06 S.upf
CELL_PARAMETERS angstrom
-4.087 4.087 3.781
4.087 -4.087 3.781
4.087 4.087 -3.781
ATOMIC_POSITIONS angstrom
Ca 6.131 1.518 -0.945
Ca 1.518 2.044 0.945
Ca -2.044 2.570 2.836
Ca 2.570 2.044 4.726
Mg 4.087 0.000 1.890
Mg 0.000 0.000 3.781
S 0.000 0.000 0.000
S 0.000 4.087 1.890
```

Record 3
Entry from Alexandria via LeMat-Bulk: Ca2MgS after structural relaxation (PBE). Values from VASP.

Output
The value obtained for the formation energy (no corrections) is -0.42 eV per atom. Its magnetic moment is 0.00 μB/f.u. The energy above the most stable polymorph in this dataset comes out at 0.306 eV per atom.

```
&SYSTEM
  ibrav = 0, nat = 4, ntyp = 3
/
ATOMIC_SPECIES
Ca 40.08 Ca.upf
Mg 24.30 Mg.upf
S 32.06 S.upf
CELL_PARAMETERS angstrom
0.000 3.782 3.782
3.782 0.000 3.782
3.782 3.782 0.000
ATOMIC_POSITIONS angstrom
Ca 1.891 1.891 1.891
Ca 5.673 5.673 5.673
Mg 0.000 0.000 0.000
S 3.782 3.782 3.782
```

Record 4
Entry from Alexandria via LeMat-Bulk: CaMgSc4S8 after structural relaxation (PBE). Values from VASP.

Output
The value obtained for the formation energy (no corrections) is -1.79 eV per atom. Its magnetic moment is 0.00 μB/f.u.

```
&SYSTEM
  ibrav = 0, nat = 14, ntyp = 4
/
ATOMIC_SPECIES
Ca 40.08 Ca.upf
Mg 24.30 Mg.upf
Sc 44.96 Sc.upf
S 32.06 S.upf
CELL_PARAMETERS angstrom
3.849 2.222 6.311
-3.849 2.222 6.311
0.000 -4.444 6.311
ATOMIC_POSITIONS angstrom
Ca 0.000 0.000 0.000
Mg 0.000 0.000 7.102
Sc 0.000 -2.274 10.323
Sc -1.970 1.137 10.323
Sc 0.000 0.000 14.291
Sc 1.970 1.137 10.323
S 0.000 0.000 2.651
S 0.000 -1.972 5.449
S -1.707 0.986 5.449
S -1.814 -1.047 8.781
S 1.707 0.986 5.449
S 1.814 -1.047 8.781
S 0.000 2.095 8.781
S 0.000 0.000 11.765
```

Record 5
Entry from Alexandria via LeMat-Bulk: CaMg2SeS after structural relaxation (PBE). Values from VASP.

Output
The value obtained for the formation energy (no corrections) is 0.52 eV per atom. Its magnetic moment is 1.44 μB/f.u.

```
&SYSTEM
  ibrav = 0, nat = 5, ntyp = 4
/
ATOMIC_SPECIES
Ca 40.08 Ca.upf
Mg 24.30 Mg.upf
Se 78.96 Se.upf
S 32.06 S.upf
CELL_PARAMETERS angstrom
6.239 0.000 0.000
0.000 6.239 0.000
0.000 0.000 5.144
ATOMIC_POSITIONS angstrom
Ca 0.000 0.000 0.000
Mg 0.000 3.120 0.000
Mg 3.120 0.000 0.000
Se 0.000 0.000 2.572
S 3.120 3.120 2.572
```

Record 6
Entry from Alexandria via LeMat-Bulk: CaMgSi2S6 after structural relaxation (PBE). Values from VASP.

Output
The value obtained for the formation energy (no corrections) is -1.03 eV per atom. Its magnetic moment is 0.00 μB/f.u.

```
&SYSTEM
  ibrav = 0, nat = 20, ntyp = 4
/
ATOMIC_SPECIES
Ca 40.08 Ca.upf
Mg 24.30 Mg.upf
Si 28.09 Si.upf
S 32.06 S.upf
CELL_PARAMETERS angstrom
6.055 -5.984 0.000
6.055 5.984 0.000
-1.266 0.000 6.109
ATOMIC_POSITIONS angstrom
Ca 5.106 4.744 4.582
Ca 5.739 -4.744 1.527
Mg 5.739 2.522 1.527
Mg 5.106 -2.522 4.582
Si 2.684 0.997 4.448
Si 3.317 -0.997 1.393
Si 7.528 0.997 4.716
Si 8.161 -0.997 1.662
S 0.590 1.156 4.148
S 3.391 2.702 5.416
S 1.222 -1.156 1.093
S 3.776 0.817 2.529
S 6.820 2.702 3.748
S 3.143 -0.817 5.583
S 7.702 0.817 0.526
S 4.024 -2.702 2.361
S 7.069 -0.817 3.581
S 9.622 1.156 5.016
S 7.453 -2.702 0.693
S 10.255 -1.156 1.961
```

Record 7
Entry from Alexandria via LeMat-Bulk: CaMgTa2S after structural relaxation (PBE). Values from VASP.

Output
The value obtained for the formation energy (no corrections) is 1.47 eV per atom. Its magnetic moment is 1.78 μB/f.u.

```
&SYSTEM
  ibrav = 0, nat = 5, ntyp = 4
/
ATOMIC_SPECIES
Ca 40.08 Ca.upf
Mg 24.30 Mg.upf
Ta 180.95 Ta.upf
S 32.06 S.upf
CELL_PARAMETERS angstrom
4.986 0.000 0.000
0.000 4.986 0.000
0.000 0.000 4.912
ATOMIC_POSITIONS angstrom
Ca 0.000 0.000 0.000
Mg 2.493 2.493 2.456
Ta 0.000 2.493 2.456
Ta 2.493 0.000 2.456
S 2.493 2.493 0.000
```

Record 8
Entry from Alexandria via LeMat-Bulk: Ca2TbMgS4 after structural relaxation (PBE). Values from VASP.

Output
The value obtained for the formation energy (no corrections) is -1.88 eV per atom. Its magnetic moment is 0.00 μB/f.u.

```
&SYSTEM
  ibrav = 0, nat = 8, ntyp = 4
/
ATOMIC_SPECIES
Ca 40.08 Ca.upf
Tb 158.93 Tb.upf
Mg 24.30 Mg.upf
S 32.06 S.upf
CELL_PARAMETERS angstrom
6.822 0.000 0.000
0.000 3.911 0.000
-2.287 0.000 6.432
ATOMIC_POSITIONS angstrom
Ca 0.000 0.000 0.000
Ca 3.411 1.955 0.000
Tb -1.144 1.955 3.216
Mg 2.268 0.000 3.216
S 0.039 0.000 4.765
S 1.189 1.955 1.725
S 3.346 1.955 4.707
S 4.496 0.000 1.667
```